(1)
CaTaInS2: relaxed, GGA-PBE.

Summary:
Density of states at the Fermi level   1.199 states/eV/atom
SG   P4/mmm
Energy   -3.9706 eV per atom

The structure in POSCAR format:
```
CaTaInS2
1.0
4.968 0.000 0.000
0.000 4.968 0.000
0.000 0.000 5.497
Ca Ta In S
1 1 1 2
Cartesian
0.000 0.000 0.000 Ca
2.484 2.484 2.749 Ta
0.000 0.000 2.749 In
0.000 2.484 0.000 S
2.484 0.000 0.000 S
```

***

(2)
CaTiInS2: relaxed, GGA-PBE.

Summary:
Density of states at the Fermi level   1.036 states/eV/atom
SG   P4/mmm
Energy   -3.9028 eV per atom

The structure in POSCAR format:
```
CaTiInS2
1.0
5.209 0.000 0.000
0.000 5.209 0.000
0.000 0.000 5.166
Ca Ti In S
1 1 1 2
Cartesian
0.000 0.000 0.000 Ca
2.604 2.604 0.000 Ti
2.604 2.604 2.583 In
0.000 2.604 2.583 S
2.604 0.000 2.583 S
```

***

(3)
CaTlInS3: relaxed, GGA-PBE.

Summary:
SG   C2/m
Energy   -4.1917 eV per atom

The structure in POSCAR format:
```
CaTlInS3
1.0
7.051 -2.861 0.000
7.051 2.861 0.000
-2.291 0.000 8.474
Ca Tl In S
2 2 2 6
Cartesian
1.544 0.000 1.258 Ca
10.268 0.000 7.216 Ca
0.801 0.000 4.795 Tl
11.011 0.000 3.679 Tl
5.824 0.000 1.254 In
5.987 0.000 7.220 In
-1.069 0.000 7.004 S
3.887 0.000 2.703 S
3.435 0.000 7.143 S
8.376 0.000 1.331 S
7.925 0.000 5.772 S
12.881 0.000 1.471 S
```

***

(4)
Ca2UInS6: relaxed, GGA-PBE.

Summary:
Density of states at the Fermi level   0.367 states/eV/atom
SG   R3
Energy   -5.6627 eV per atom

The structure in POSCAR format:
```
Ca2UInS6
1.0
3.458 1.996 6.041
-3.458 1.996 6.041
0.000 -3.993 6.041
Ca U In S
2 1 1 6
Cartesian
0.000 0.000 0.000 Ca
0.000 0.000 8.955 Ca
0.000 0.000 12.677 U
0.000 0.000 3.717 In
-1.272 -2.333 8.015 S
-2.051 0.206 11.030 S
-1.384 2.268 8.015 S
0.847 -1.879 11.030 S
2.656 0.065 8.015 S
1.204 1.673 11.030 S
```

***

(5)
Ca2InWS: relaxed, GGA-PBE.

Summary:
Density of states at the Fermi level   0.471 states/eV/atom
SG   P4/mmm
Energy   -3.8897 eV per atom

The structure in POSCAR format:
```
Ca2InWS
1.0
5.814 0.000 0.000
0.000 5.814 0.000
0.000 0.000 5.114
Ca In W S
2 1 1 1
Cartesian
0.000 2.907 0.000 Ca
2.907 0.000 0.000 Ca
0.000 0.000 0.000 In
0.000 0.000 2.557 W
2.907 2.907 2.557 S
```

***

(6)
CaInW2S: relaxed, GGA-PBE.

Summary:
Density of states at the Fermi level   1.021 states/eV/atom
SG   P4/mmm
Energy   -6.2571 eV per atom

The structure in POSCAR format:
```
CaInW2S
1.0
4.478 0.000 0.000
0.000 4.478 0.000
0.000 0.000 5.574
Ca In W S
1 1 2 1
Cartesian
0.000 0.000 0.000 Ca
2.239 2.239 0.000 In
0.000 2.239 2.787 W
2.239 0.000 2.787 W
2.239 2.239 2.787 S
```

***

| no. | formation energy (no corrections) (kJ/mol of atoms) |
| --- | --- |
| 1 | 96.4 |
| 2 | 26.6 |
| 3 | -91.0 |
| 4 | -133.5 |
| 5 | 84.4 |
| 6 | 67.3 |